[1]
A relaxed structure of LiZr2Cd2, computed with GGA-PBE.

Geometry as POSCAR:
```
LiZr2Cd2
1.0
-2.035 -3.339 -1.173
3.089 -2.336 1.292
-3.618 2.402 6.545
Li Zr Cd
1 2 2
Direct
0.000 0.000 0.000
0.750 0.250 0.500
0.250 0.750 0.500
0.407 0.407 0.814
0.593 0.593 0.186
```

total DFT energy (no corrections)	-19.80	eV per cell
D(E_F)	4.020	states/eV/f.u.
spin magnetization	0.00	μB/f.u.

---

[2]
A relaxed structure of KLiO2, computed with GGA-PBE.

Geometry as POSCAR:
```
KLiO2
1.0
-4.860 -3.686 4.322
-2.394 -3.077 6.378
-4.647 -0.780 5.804
K O Li
1 2 1
Direct
0.500 0.500 0.500
0.918 0.918 0.918
0.082 0.082 0.082
0.000 0.000 0.000
```

total DFT energy (no corrections)	-15.00	eV per cell
D(E_F)	2.039	states/eV/f.u.
spin magnetization	2.00	μB/f.u.

---

[3]
A relaxed structure of Tl2AgPd8, computed with GGA-PBE.

Geometry as POSCAR:
```
Tl2AgPd8
1.0
-1.819 -0.573 -3.696
-0.770 -6.284 1.353
-4.989 3.727 4.217
Tl Ag Pd
2 1 8
Direct
0.779 0.341 0.558
0.221 0.659 0.442
0.500 0.000 0.000
0.409 0.545 0.817
0.675 0.908 0.350
0.861 0.815 0.722
0.961 0.275 0.923
0.139 0.185 0.278
0.325 0.092 0.650
0.591 0.455 0.183
0.039 0.725 0.077
```

total DFT energy (no corrections)	-50.35	eV per cell
D(E_F)	6.323	states/eV/f.u.
spin magnetization	0.00	μB/f.u.

---

[4]
A relaxed structure of NaY2Tc2, computed with GGA-PBE.

Geometry as POSCAR:
```
NaY2Tc2
1.0
8.379 0.000 0.000
0.000 8.379 0.000
0.000 0.000 3.397
Y Na Tc
4 2 4
Direct
0.189 0.689 0.500
0.689 0.811 0.500
0.811 0.311 0.500
0.311 0.189 0.500
0.000 0.000 0.000
0.500 0.500 0.000
0.405 0.905 0.000
0.905 0.595 0.000
0.595 0.095 0.000
0.095 0.405 0.000
```

total DFT energy (no corrections)	-67.01	eV per cell
D(E_F)	5.369	states/eV/f.u.
spin magnetization	0.55	μB/f.u.